[1]
Compound: AlInPd5
Source: Alexandria
Functional: PBE
Structure: relaxed

a = 5.363 Å, b = 5.363 Å, c = 9.133 Å
α = 89.42°, β = 89.42°, γ = 62.98°
Atoms (fractional coordinates):
Pd 0.201 0.799 0.750
In 0.000 0.000 0.500
Pd 0.930 0.637 0.237
Pd 0.070 0.363 0.763
Pd 0.312 0.391 0.501
Pd 0.688 0.609 0.499
Pd 0.391 0.312 0.001
Pd 0.637 0.930 0.737
Al 0.618 0.382 0.750
Pd 0.363 0.070 0.263
Pd 0.609 0.688 0.999
Pd 0.799 0.201 0.250
In 0.000 0.000 0.000
Al 0.382 0.618 0.250

Calculated values
ΔE to the lowest computed polymorph: 0.143 eV/atom
ΔH_f (0 K): -260 kJ/mol of formula units



[2]
Compound: Pm2Al4InPd3
Source: Alexandria
Functional: PBE
Structure: relaxed

a = 4.321 Å, b = 4.321 Å, c = 10.762 Å
α = 90.00°, β = 90.00°, γ = 90.00°
Atoms (fractional coordinates):
Al 0.000 0.000 0.000
Al 0.500 0.000 0.649
Pd 0.500 0.000 0.877
Al 0.000 0.500 0.351
Pm 0.500 0.000 0.241
In 0.500 0.500 0.500
Al 0.500 0.500 0.000
Pd 0.000 0.000 0.500
Pm 0.000 0.500 0.759
Pd 0.000 0.500 0.123

Calculated values
ΔH_f (0 K): -717 kJ/mol of formula units



[3]
Compound: Pm2AlInPd6
Source: Alexandria
Functional: PBE
Structure: relaxed

a = 8.801 Å, b = 5.705 Å, c = 5.699 Å
α = 59.96°, β = 71.00°, γ = 89.90°
Atoms (fractional coordinates):
Pd 0.726 0.745 0.017
Pd 0.726 0.744 0.511
Pm 0.384 0.795 0.411
Pd 0.726 0.238 0.017
Pd 0.274 0.256 0.489
Al 0.500 0.500 0.000
Pd 0.274 0.255 0.983
In 0.000 0.000 0.000
Pm 0.616 0.205 0.589
Pd 0.274 0.762 0.983

Calculated values
ΔH_f (0 K): -605 kJ/mol of formula units



[4]
Compound: Pm2Al3InPd4
Source: Alexandria
Functional: PBE
Structure: relaxed

a = 4.379 Å, b = 4.379 Å, c = 10.447 Å
α = 90.00°, β = 90.00°, γ = 90.00°
Atoms (fractional coordinates):
Pd 0.500 0.000 0.646
Pd 0.000 0.500 0.354
Pd 0.000 0.000 0.000
In 0.500 0.500 0.500
Pd 0.500 0.500 0.000
Pm 0.000 0.500 0.756
Al 0.000 0.000 0.500
Al 0.000 0.500 0.120
Pm 0.500 0.000 0.244
Al 0.500 0.000 0.880

Calculated values
ΔH_f (0 K): -768 kJ/mol of formula units



[5]
Compound: Pr2Al3InPd4
Source: Alexandria
Functional: PBE
Structure: relaxed

a = 4.493 Å, b = 4.493 Å, c = 10.124 Å
α = 90.00°, β = 90.00°, γ = 90.00°
Atoms (fractional coordinates):
In 0.500 0.500 0.500
Pr 0.500 0.000 0.243
Pd 0.500 0.500 0.000
Pd 0.500 0.000 0.642
Al 0.000 0.000 0.500
Pr 0.000 0.500 0.757
Pd 0.000 0.000 0.000
Al 0.000 0.500 0.116
Al 0.500 0.000 0.884
Pd 0.000 0.500 0.358

Calculated values
ΔH_f (0 K): -765 kJ/mol of formula units



[6]
Compound: PrAlIn2Pd4
Source: Alexandria
Functional: PBE
Structure: relaxed

a = 4.571 Å, b = 4.571 Å, c = 8.967 Å
α = 75.23°, β = 75.23°, γ = 60.00°
Atoms (fractional coordinates):
Pd 0.865 0.865 0.405
In 0.755 0.755 0.734
Pr 0.000 0.000 0.000
Pd 0.402 0.402 0.793
Pd 0.135 0.135 0.595
In 0.245 0.245 0.266
Pd 0.598 0.598 0.207
Al 0.500 0.500 0.500

Calculated values
ΔH_f (0 K): -525 kJ/mol of formula units



[7]
Compound: Pr2Al4InPd3
Source: Alexandria
Functional: PBE
Structure: relaxed

a = 4.363 Å, b = 4.363 Å, c = 10.749 Å
α = 90.00°, β = 90.00°, γ = 90.00°
Atoms (fractional coordinates):
Al 0.000 0.500 0.351
Al 0.500 0.000 0.649
Al 0.500 0.500 0.000
Pd 0.500 0.000 0.878
Pr 0.000 0.500 0.758
Pr 0.500 0.000 0.242
Pd 0.000 0.500 0.122
Pd 0.000 0.000 0.500
In 0.500 0.500 0.500
Al 0.000 0.000 0.000

Calculated values
ΔH_f (0 K): -714 kJ/mol of formula units



[8]
Compound: Pr2AlInPd6
Source: Alexandria
Functional: PBE
Structure: relaxed

a = 6.779 Å, b = 6.493 Å, c = 6.783 Å
α = 85.64°, β = 49.04°, γ = 106.47°
Atoms (fractional coordinates):
Pd 0.696 0.689 0.516
Pd 0.204 0.688 0.007
Pd 0.304 0.311 0.484
Pd 0.255 0.075 0.178
Pd 0.745 0.925 0.822
Pr 0.750 0.251 0.499
Pd 0.796 0.312 0.993
Pr 0.250 0.749 0.501
Al 0.500 0.500 0.000
In 0.000 0.000 0.000

Calculated values
ΔH_f (0 K): -634 kJ/mol of formula units



[9]
Compound: AlInPdPt
Source: Alexandria
Functional: PBE
Structure: relaxed

a = 4.528 Å, b = 4.528 Å, c = 4.528 Å
α = 60.00°, β = 60.00°, γ = 60.00°
Atoms (fractional coordinates):
Pt 0.750 0.750 0.750
Al 0.500 0.500 0.500
In 0.000 0.000 0.000
Pd 0.250 0.250 0.250

Calculated values
ΔH_f (0 K): -241 kJ/mol of formula units



[10]
Compound: AlInPdRu
Source: Alexandria
Functional: PBE
Structure: relaxed

a = 4.459 Å, b = 4.459 Å, c = 4.459 Å
α = 60.00°, β = 60.00°, γ = 60.00°
Atoms (fractional coordinates):
Pd 0.250 0.250 0.250
Ru 0.750 0.750 0.750
In 0.500 0.500 0.500
Al 0.000 0.000 0.000

Calculated values
ΔH_f (0 K): -161 kJ/mol of formula units



[11]
Compound: Sc5AlIn2Pd2
Source: Alexandria
Functional: PBE
Structure: relaxed

a = 3.326 Å, b = 11.370 Å, c = 11.370 Å
α = 90.00°, β = 90.00°, γ = 90.00°
Atoms (fractional coordinates):
Al 0.000 0.000 0.000
In 0.000 0.674 0.174
Sc 0.500 0.000 0.500
Sc 0.500 0.933 0.197
Pd 0.000 0.869 0.369
In 0.000 0.174 0.326
Sc 0.500 0.197 0.067
Sc 0.500 0.067 0.803
Sc 0.500 0.803 0.933
Sc 0.500 0.567 0.697
Sc 0.500 0.697 0.433
Sc 0.500 0.433 0.303
Al 0.000 0.500 0.500
Pd 0.000 0.369 0.131
In 0.000 0.326 0.826
Sc 0.500 0.303 0.567
Sc 0.500 0.500 0.000
In 0.000 0.826 0.674
Pd 0.000 0.631 0.869
Pd 0.000 0.131 0.631

Calculated values
ΔH_f (0 K): -510 kJ/mol of formula units



[12]
Compound: ScAlInPd
Source: Alexandria
Functional: PBE
Structure: relaxed

a = 4.700 Å, b = 4.700 Å, c = 4.700 Å
α = 60.00°, β = 60.00°, γ = 60.00°
Atoms (fractional coordinates):
Al 0.250 0.250 0.250
Pd 0.500 0.500 0.500
Sc 0.750 0.750 0.750
In 0.000 0.000 0.000

Calculated values
ΔH_f (0 K): -192 kJ/mol of formula units



[13]
Compound: Sc2Al2InPd5
Source: Alexandria
Functional: PBE
Structure: relaxed

a = 3.699 Å, b = 9.672 Å, c = 9.672 Å
α = 90.00°, β = 90.00°, γ = 90.00°
Atoms (fractional coordinates):
In 0.000 0.000 0.000
Pd 0.500 0.290 0.571
In 0.000 0.500 0.500
Pd 0.500 0.071 0.790
Pd 0.500 0.929 0.210
Pd 0.500 0.571 0.710
Sc 0.000 0.324 0.824
Al 0.000 0.622 0.878
Pd 0.500 0.710 0.429
Pd 0.500 0.210 0.071
Pd 0.500 0.429 0.290
Pd 0.500 0.790 0.929
Pd 0.500 0.500 0.000
Sc 0.000 0.676 0.176
Sc 0.000 0.176 0.324
Sc 0.000 0.824 0.676
Al 0.000 0.122 0.622
Pd 0.500 0.000 0.500
Al 0.000 0.878 0.378
Al 0.000 0.378 0.122

Calculated values
ΔH_f (0 K): -719 kJ/mol of formula units



[14]
Compound: Sm2Al4InPd3
Source: Alexandria
Functional: PBE
Structure: relaxed

a = 4.304 Å, b = 4.304 Å, c = 10.776 Å
α = 90.00°, β = 90.00°, γ = 90.00°
Atoms (fractional coordinates):
In 0.500 0.500 0.500
Sm 0.000 0.500 0.759
Al 0.500 0.500 0.000
Al 0.500 0.000 0.650
Pd 0.500 0.000 0.876
Al 0.000 0.000 0.000
Pd 0.000 0.000 0.500
Pd 0.000 0.500 0.124
Sm 0.500 0.000 0.241
Al 0.000 0.500 0.350

Calculated values
ΔH_f (0 K): -714 kJ/mol of formula units



[15]
Compound: Sm2AlInPd6
Source: Alexandria
Functional: PBE
Structure: relaxed

a = 8.806 Å, b = 5.690 Å, c = 5.684 Å
α = 59.95°, β = 71.03°, γ = 89.90°
Atoms (fractional coordinates):
In 0.000 0.000 0.000
Al 0.500 0.500 0.000
Pd 0.274 0.763 0.983
Pd 0.726 0.237 0.017
Pd 0.275 0.256 0.490
Pd 0.274 0.255 0.983
Sm 0.613 0.204 0.590
Pd 0.725 0.744 0.510
Sm 0.387 0.796 0.410
Pd 0.726 0.745 0.017

Calculated values
ΔH_f (0 K): -611 kJ/mol of formula units



[16]
Compound: Sm2Al2InPd5
Source: Alexandria
Functional: PBE
Structure: relaxed

a = 3.532 Å, b = 10.378 Å, c = 10.378 Å
α = 90.00°, β = 90.00°, γ = 90.00°
Atoms (fractional coordinates):
In 0.000 0.000 0.000
Pd 0.500 0.787 0.942
Al 0.000 0.880 0.380
Pd 0.500 0.942 0.213
Pd 0.500 0.558 0.713
Sm 0.000 0.322 0.822
Pd 0.500 0.287 0.558
Pd 0.500 0.500 0.000
Sm 0.000 0.678 0.178
Al 0.000 0.620 0.880
Pd 0.500 0.442 0.287
Al 0.000 0.120 0.620
Pd 0.500 0.713 0.442
Al 0.000 0.380 0.120
Pd 0.500 0.058 0.787
Pd 0.500 0.213 0.058
Sm 0.000 0.822 0.678
Pd 0.500 0.000 0.500
In 0.000 0.500 0.500
Sm 0.000 0.178 0.322

Calculated values
ΔH_f (0 K): -715 kJ/mol of formula units



[17]
Compound: Sm2Al3InPd4
Source: Alexandria
Functional: PBE
Structure: relaxed

a = 4.323 Å, b = 4.323 Å, c = 10.653 Å
α = 90.00°, β = 90.00°, γ = 90.00°
Atoms (fractional coordinates):
Al 0.000 0.000 0.500
Pd 0.500 0.500 0.000
Pd 0.000 0.000 0.000
Pd 0.500 0.000 0.648
Pd 0.000 0.500 0.352
In 0.500 0.500 0.500
Sm 0.000 0.500 0.757
Al 0.500 0.000 0.880
Al 0.000 0.500 0.120
Sm 0.500 0.000 0.243

Calculated values
ΔH_f (0 K): -766 kJ/mol of formula units



[18]
Compound: Al2InSn2Pd5
Source: Alexandria
Functional: PBE
Structure: relaxed

a = 3.518 Å, b = 10.109 Å, c = 10.109 Å
α = 90.00°, β = 90.00°, γ = 90.00°
Atoms (fractional coordinates):
Pd 0.500 0.500 0.000
Pd 0.500 0.285 0.518
In 0.000 0.500 0.500
Pd 0.500 0.018 0.785
In 0.000 0.000 0.000
Pd 0.500 0.518 0.715
Al 0.000 0.362 0.138
Pd 0.500 0.482 0.285
Al 0.000 0.138 0.638
Sn 0.000 0.169 0.331
Pd 0.500 0.000 0.500
Al 0.000 0.862 0.362
Pd 0.500 0.982 0.215
Al 0.000 0.638 0.862
Pd 0.500 0.215 0.018
Sn 0.000 0.831 0.669
Sn 0.000 0.331 0.831
Sn 0.000 0.669 0.169
Pd 0.500 0.715 0.482
Pd 0.500 0.785 0.982

Calculated values
ΔH_f (0 K): -475 kJ/mol of formula units



[19]
Compound: AlInSnPd2
Source: Alexandria
Functional: PBE
Structure: relaxed

a = 5.067 Å, b = 5.074 Å, c = 5.067 Å
α = 90.00°, β = 90.00°, γ = 90.00°
Atoms (fractional coordinates):
Pd 0.000 0.000 0.500
Pd 0.500 0.000 0.000
In 0.500 0.500 0.500
Al 0.000 0.500 0.000
Sn 0.000 0.000 0.000

Calculated values
ΔH_f (0 K): 200 kJ/mol of formula units



[20]
Compound: Sr2AlInPd
Source: Alexandria
Functional: PBE
Structure: relaxed

a = 6.201 Å, b = 4.815 Å, c = 6.201 Å
α = 90.00°, β = 90.00°, γ = 90.00°
Atoms (fractional coordinates):
Al 0.000 0.500 0.000
Sr 0.000 0.000 0.500
Pd 0.500 0.500 0.500
In 0.000 0.000 0.000
Sr 0.500 0.000 0.000

Calculated values
ΔH_f (0 K): 147 kJ/mol of formula units



| no. | total energy (hartree per atom) |
| --- | --- |
| 1 | -0.1845 |
| 2 | -0.1846 |
| 3 | -0.1963 |
| 4 | -0.1918 |
| 5 | -0.1919 |
| 6 | -0.1847 |
| 7 | -0.1847 |
| 8 | -0.1976 |
| 9 | -0.1857 |
| 10 | -0.2078 |
| 11 | -0.2078 |
| 12 | -0.1837 |
| 13 | -0.2069 |
| 14 | -0.1842 |
| 15 | -0.1963 |
| 16 | -0.1949 |
| 17 | -0.1915 |
| 18 | -0.1805 |
| 19 | -0.1382 |
| 20 | -0.0993 |